# 1
The following is a DFT calculation (PBE) of a relaxed structure of Rb2Sn3Sb2.

## Properties
VASP energy in eV/atom: -3.38
ρ in g cm⁻³: 4.86
Uncorrected formation energy in eV per atom: -0.214

abc: 4.297 8.034 8.832
angles: 115.22 90.00 105.51
Positions (direct):
Sn (0.384, 0.769, 0.613)
Sn (0.616, 0.231, 0.387)
Sn (0.500, 0.000, 0.000)
Sb (0.176, 0.353, 0.229)
Sb (0.824, 0.647, 0.771)
Rb (0.121, 0.242, 0.763)
Rb (0.879, 0.758, 0.237)



# 2
The following is a DFT calculation (PBE) of a relaxed structure of Rb2Sn2Sb3.

## Properties
VASP energy in eV/atom: -3.36
ρ in g cm⁻³: 4.56
Uncorrected formation energy in eV per atom: -0.174

abc: 10.536 7.623 8.938
angles: 90.00 51.78 90.00
Positions (direct):
Rb (0.426, 0.911, 0.803)
Rb (0.574, 0.089, 0.197)
Rb (0.074, 0.411, 0.197)
Rb (0.926, 0.589, 0.803)
Sb (0.767, 0.200, 0.691)
Sb (0.267, 0.300, 0.691)
Sb (0.733, 0.700, 0.309)
Sb (0.000, 0.000, 0.000)
Sb (0.233, 0.800, 0.309)
Sb (0.500, 0.500, 0.000)
Sn (0.577, 0.427, 0.623)
Sn (0.923, 0.927, 0.377)
Sn (0.077, 0.073, 0.623)
Sn (0.423, 0.573, 0.377)



# 3
The following is a DFT calculation (PBE) of a relaxed structure of Rb3Sn4Sb4.

## Properties
ΔE to the lowest computed polymorph in meV per atom: 0
VASP energy in eV/atom: -3.39
ρ in g cm⁻³: 4.61
Uncorrected formation energy in eV per atom: -0.170

abc: 4.573 5.917 16.634
angles: 100.25 97.90 90.00
Positions (direct):
Sn (0.795, 0.295, 0.590)
Sn (0.454, 0.454, 0.909)
Sn (0.205, 0.705, 0.410)
Sn (0.546, 0.546, 0.091)
Rb (0.641, 0.141, 0.283)
Rb (0.000, 0.000, 0.000)
Rb (0.359, 0.859, 0.717)
Sb (0.237, 0.237, 0.475)
Sb (0.102, 0.602, 0.203)
Sb (0.898, 0.398, 0.797)
Sb (0.763, 0.763, 0.525)